1.
## BeMoSe2 (GGA-PBEsol)

Data for an optimized crystal structure of BeMoSe2.

Unit cell a=3.1163 b=4.1717 c=4.5874 alpha=90.00 beta=90.00 gamma=90.00
Element x y z (fractional)
Be1 0.0000 0.0000 0.0000
Mo1 0.0000 0.5000 0.5000
Se1 0.5000 0.0000 0.5000
Se2 0.5000 0.5000 0.0000

Crystal system = orthorhombic
Uncorrected formation energy = 28.76 kJ/mol of atoms
N(E_F) = 3.1 states/eV/f.u.
SG = Pmmm, No. 47

=====

2.
## BeMo2Se (GGA-PBEsol)

Data for an optimized crystal structure of BeMo2Se.

Unit cell a=4.8842 b=4.8842 c=4.8842 alpha=142.14 beta=129.15 gamma=65.12
Element x y z (fractional)
Be1 0.0000 0.0000 0.0000
Mo1 0.2344 0.7344 0.5000
Mo2 0.5106 0.5106 0.0000
Se1 0.7593 0.2593 0.5000

Crystal system = orthorhombic
Uncorrected formation energy = 23.47 kJ/mol of atoms
N(E_F) = 3.0 states/eV/f.u.
SG = Imm2, No. 44
Energy above the lowest structure with this stoichiometry = 0 meV/atom

=====

3.
## BeMoSe2 (GGA-PBEsol)

Data for an optimized crystal structure of BeMoSe2.

Unit cell a=3.2922 b=3.2922 c=7.1905 alpha=90.00 beta=90.00 gamma=122.38
Element x y z (fractional)
Be1 0.0000 0.0000 0.0000
Mo1 0.0000 0.0000 0.5000
Se1 0.5000 0.5000 0.2257
Se2 0.5000 0.5000 0.7743

Crystal system = orthorhombic
Uncorrected formation energy = 35.09 kJ/mol of atoms
N(E_F) = 3.6 states/eV/f.u.
SG = Cmmm, No. 65

=====

4.
## BeMo2Se (GGA-PBEsol)

Data for an optimized crystal structure of BeMo2Se.

Unit cell a=4.3222 b=4.3222 c=4.3222 alpha=60.00 beta=60.00 gamma=60.00
Element x y z (fractional)
Be1 0.0000 0.0000 0.0000
Mo1 0.2500 0.2500 0.2500
Mo2 0.5000 0.5000 0.5000
Se1 0.7500 0.7500 0.7500

Crystal system = cubic
Uncorrected formation energy = 39.95 kJ/mol of atoms
N(E_F) = 4.4 states/eV/f.u.
SG = F-43m, No. 216
Energy above the lowest structure with this stoichiometry = 171 meV/atom

=====

5.
## BeMoSe2 (GGA-PBEsol)

Data for an optimized crystal structure of BeMoSe2.

Unit cell a=6.2862 b=6.2862 c=6.2862 alpha=127.14 beta=127.14 gamma=78.02
Element x y z (fractional)
Be1 0.0000 0.0000 0.0000
Be2 0.7500 0.2500 0.5000
Mo1 0.2500 0.7500 0.5000
Mo2 0.5000 0.5000 0.0000
Se1 0.0841 0.6250 0.9591
Se2 0.3750 0.3341 0.4591
Se3 0.6659 0.1250 0.0409
Se4 0.8750 0.9159 0.5409

Crystal system = tetragonal
Uncorrected formation energy = 3.38 kJ/mol of atoms
N(E_F) = 3.3 states/eV/f.u.
SG = I-42d, No. 122

=====

6.
## Be2TcMoSe (GGA-PBEsol)

Data for an optimized crystal structure of Be2TcMoSe.

Unit cell a=4.2191 b=4.2191 c=4.6574 alpha=90.00 beta=90.00 gamma=90.00
Element x y z (fractional)
Be1 0.0000 0.5000 0.0000
Be2 0.5000 0.0000 0.0000
Tc1 0.0000 0.0000 0.0000
Mo1 0.0000 0.0000 0.5000
Se1 0.5000 0.5000 0.5000

Crystal system = tetragonal
Uncorrected formation energy = 111.44 kJ/mol of atoms
N(E_F) = 4.5 states/eV/f.u.
SG = P4/mmm, No. 123

=====

For the records above, the corresponding E_tot values read -22.276; -30.413; -22.014; -29.730; -23.328; -29.110 eV/f.u..